No. 1
First-principles (PBE) data for a relaxed structure of NbFeOs2, as listed in Alexandria.

Output
The calculation puts the total energy at -41.15 eV/cell. The value obtained for the energy of formation from the pure elements is -0.040 eV/atom.

Cell lengths 3.8312, 3.8942, 3.8942 Å; angles 90.00, 90.00, 90.00 degrees
Closest atoms and distances in Å follow each position.
Fractional coordinates of all 4 atoms:
Nb  0.5000  0.0000  0.0000  8 Os 2.73, 4 Fe 2.75
Os  0.0000  0.5000  0.0000  4 Nb 2.73, 4 Fe 2.73, 4 Os 2.75
Os  0.0000  0.0000  0.5000  4 Nb 2.73, 4 Fe 2.73, 4 Os 2.75
Fe  0.5000  0.5000  0.5000  8 Os 2.73, 4 Nb 2.75

=====

No. 2
First-principles (PBE) data for a relaxed structure of NbFe2Os, as listed in Alexandria.

Output
The calculation puts the total energy at -72.01 eV/cell. The value obtained for the energy of formation from the pure elements is 0.555 eV/atom.

Cell lengths 3.6314, 3.6314, 9.7351 Å; angles 79.25, 79.25, 90.00 degrees
Closest atoms and distances in Å follow each position.
Fractional coordinates of all 8 atoms:
Fe  0.6432  0.1250  0.2500  4 Fe 2.48-2.66, 2 Os 2.65, 2 Nb 2.70
Fe  0.1068  0.6250  0.2500  4 Fe 2.48-2.66, 2 Os 2.65, 2 Nb 2.70
Fe  0.8750  0.8932  0.7500  4 Fe 2.48-2.66, 2 Os 2.65, 2 Nb 2.70
Nb  0.5000  0.5000  0.0000  4 Os 2.57, 4 Fe 2.70
Os  0.7500  0.2500  0.5000  4 Nb 2.57, 4 Fe 2.65
Os  0.0000  0.0000  0.0000  4 Nb 2.57, 4 Fe 2.65
Nb  0.2500  0.7500  0.5000  4 Os 2.57, 4 Fe 2.70
Fe  0.3750  0.3568  0.7500  4 Fe 2.48-2.66, 2 Os 2.65, 2 Nb 2.70

=====

No. 3
First-principles (PBE) data for a relaxed structure of Nb2Fe2Os, as listed in Alexandria.

Output
The calculation puts the total energy at -96.34 eV/cell. The value obtained for the energy of formation from the pure elements is 0.025 eV/atom.

Cell lengths 6.6748, 6.6748, 3.2437 Å; angles 90.00, 90.00, 90.00 degrees
Closest atoms and distances in Å follow each position.
Fractional coordinates of all 10 atoms:
Os  0.5000  0.5000  0.0000  4 Fe 2.67, 8 Nb 2.93
Fe  0.3821  0.8821  0.0000  1 Fe 2.23, 2 Nb 2.47
Nb  0.8154  0.3154  0.5000  6 Fe 2.47-2.63
Nb  0.3154  0.1846  0.5000  6 Fe 2.47-2.63
Nb  0.1846  0.6846  0.5000  6 Fe 2.47-2.63
Fe  0.8821  0.6179  0.0000  1 Fe 2.23, 2 Nb 2.47
Nb  0.6846  0.8154  0.5000  6 Fe 2.47-2.63
Fe  0.6179  0.1179  0.0000  1 Fe 2.23, 2 Nb 2.47
Os  0.0000  0.0000  0.0000  4 Fe 2.67, 8 Nb 2.93
Fe  0.1179  0.3821  0.0000  1 Fe 2.23, 2 Nb 2.47

=====

No. 4
First-principles (PBE) data for a relaxed structure of Nb2FeOs, as listed in Alexandria.

Output
The calculation puts the total energy at -40.36 eV/cell. The value obtained for the energy of formation from the pure elements is -0.131 eV/atom.

Cell lengths 3.1309, 4.4815, 4.4815 Å; angles 90.00, 90.00, 90.00 degrees
Closest atoms and distances in Å follow each position.
Fractional coordinates of all 4 atoms:
Fe  0.5000  0.5000  0.5000  8 Nb 2.73
Nb  0.0000  0.5000  0.0000  4 Fe 2.73, 4 Os 2.73
Nb  0.0000  0.0000  0.5000  4 Fe 2.73, 4 Os 2.73
Os  0.5000  0.0000  0.0000  8 Nb 2.73

=====

No. 5
First-principles (PBE) data for a relaxed structure of NbFeOs2, as listed in Alexandria.

Output
The calculation puts the total energy at -76.98 eV/cell. The value obtained for the energy of formation from the pure elements is 0.625 eV/atom.

Cell lengths 3.8750, 3.8750, 9.1468 Å; angles 77.77, 77.77, 90.00 degrees
Closest atoms and distances in Å follow each position.
Fractional coordinates of all 8 atoms:
Nb  0.7500  0.2500  0.5000  4 Os 2.66, 4 Fe 2.74
Fe  0.2500  0.7500  0.5000  4 Os 2.51, 4 Nb 2.74
Os  0.3750  0.4278  0.7500  2 Os 2.47, 2 Fe 2.51, 2 Nb 2.66
Os  0.1778  0.6250  0.2500  2 Os 2.47, 2 Fe 2.51, 2 Nb 2.66
Os  0.5722  0.1250  0.2500  2 Os 2.47, 2 Fe 2.51, 2 Nb 2.66
Nb  0.0000  0.0000  0.0000  4 Os 2.66, 4 Fe 2.74
Fe  0.5000  0.5000  0.0000  4 Os 2.51, 4 Nb 2.74
Os  0.8750  0.8222  0.7500  2 Os 2.47, 2 Fe 2.51, 2 Nb 2.66

=====

No. 6
First-principles (PBE) data for a relaxed structure of Nb3Fe8Os, as listed in Alexandria.

Output
The calculation puts the total energy at -110.51 eV/cell. The value obtained for the energy of formation from the pure elements is -0.114 eV/atom.

Cell lengths 4.7893, 4.7893, 8.2834 Å; angles 73.20, 73.20, 60.00 degrees
Closest atoms and distances in Å follow each position.
Fractional coordinates of all 12 atoms:
Nb  0.5048  0.5048  0.4857  12 Fe 2.72-2.87, 3 Os 2.88, 1 Nb 3.00
Fe  0.1878  0.1878  0.4365  6 Fe 2.39-2.40
Nb  0.3767  0.3767  0.8700  12 Fe 2.79-2.82, 4 Nb 3.00
Fe  0.4368  0.4368  0.1859  6 Fe 2.38-2.41
Nb  0.9940  0.9940  0.0179  12 Fe 2.73-2.92, 1 Os 2.84, 3 Nb 3.00
Os  0.8727  0.8727  0.3819  12 Fe 2.76-2.84, 4 Nb 2.84-2.88
Fe  0.4366  0.9378  0.6878  6 Fe 2.39-2.40
Fe  0.9406  0.4368  0.1859  6 Fe 2.38-2.41
Fe  0.9378  0.4366  0.6878  6 Fe 2.39-2.40
Fe  0.9378  0.9378  0.6878  6 Fe 2.39-2.40
Fe  0.6877  0.6877  0.9370  6 Fe 2.39
Fe  0.4368  0.9406  0.1859  6 Fe 2.38-2.41

=====

No. 7
First-principles (PBE) data for a relaxed structure of Nb4FeOs, as listed in Alexandria.

Output
The calculation puts the total energy at -58.60 eV/cell. The value obtained for the energy of formation from the pure elements is 0.229 eV/atom.

Cell lengths 4.0086, 4.6190, 6.1624 Å; angles 79.15, 90.00, 90.00 degrees
Closest atoms and distances in Å follow each position.
Fractional coordinates of all 6 atoms:
Fe  0.0013  0.9973  0.4981  6 Nb 2.44-2.51
Os  0.5013  0.4973  0.9981  6 Nb 2.59-2.65
Nb  0.5013  0.9696  0.2570  2 Fe 2.51, 1 Os 2.65
Nb  0.0013  0.5081  0.7306  1 Fe 2.44, 2 Os 2.59
Nb  0.5013  0.0250  0.7392  2 Fe 2.51, 1 Os 2.65
Nb  0.0013  0.4865  0.2657  1 Fe 2.44, 2 Os 2.59

=====

No. 8
First-principles (PBE) data for a relaxed structure of NbFe2Os2, as listed in Alexandria.

Output
The calculation puts the total energy at -97.75 eV/cell. The value obtained for the energy of formation from the pure elements is 0.116 eV/atom.

Cell lengths 7.2189, 7.2189, 2.6599 Å; angles 90.00, 90.00, 90.00 degrees
Closest atoms and distances in Å follow each position.
Fractional coordinates of all 10 atoms:
Nb  0.5000  0.5000  0.0000  2 Nb 2.66, 4 Os 2.84
Fe  0.6685  0.8315  0.5000  6 Os 2.47-2.53, 2 Fe 2.66
Fe  0.1685  0.6685  0.5000  6 Os 2.47-2.53, 2 Fe 2.66
Os  0.1272  0.3728  0.0000  6 Fe 2.47-2.53, 3 Os 2.60-2.66
Nb  0.0000  0.0000  0.0000  2 Nb 2.66, 4 Os 2.84
Fe  0.8315  0.3315  0.5000  6 Os 2.47-2.53, 2 Fe 2.66
Os  0.3728  0.8728  0.0000  6 Fe 2.47-2.53, 3 Os 2.60-2.66
Os  0.8728  0.6272  0.0000  6 Fe 2.47-2.53, 3 Os 2.60-2.66
Fe  0.3315  0.1685  0.5000  6 Os 2.47-2.53, 2 Fe 2.66
Os  0.6272  0.1272  0.0000  6 Fe 2.47-2.53, 3 Os 2.60-2.66

=====

No. 9
First-principles (PBE) data for a relaxed structure of Nb2FeOs, as listed in Alexandria.

Output
The calculation puts the total energy at -39.87 eV/cell. The value obtained for the energy of formation from the pure elements is -0.008 eV/atom.

Cell lengths 5.3447, 2.7869, 4.3158 Å; angles 90.00, 90.00, 77.73 degrees
Closest atoms and distances in Å follow each position.
Fractional coordinates of all 4 atoms:
Nb  0.5000  0.4972  0.0000  2 Fe 2.70, 2 Os 2.71, 4 Nb 2.73-2.79
Os  0.7500  0.7500  0.5000  4 Nb 2.71, 2 Fe 2.74, 2 Os 2.79
Nb  0.0000  0.0028  0.0000  2 Fe 2.70, 2 Os 2.71, 4 Nb 2.73-2.79
Fe  0.2500  0.2500  0.5000  4 Nb 2.70, 2 Os 2.74, 2 Fe 2.79

=====

No. 10
First-principles (PBE) data for a relaxed structure of NbFeOs, as listed in Alexandria.

Output
The calculation puts the total energy at -60.38 eV/cell. The value obtained for the energy of formation from the pure elements is -0.143 eV/atom.

Cell lengths 4.8734, 4.9987, 4.9987 Å; angles 61.72, 60.83, 60.83 degrees
Closest atoms and distances in Å follow each position.
Fractional coordinates of all 6 atoms:
Fe  0.0000  0.0000  0.0000  2 Fe 2.44, 4 Os 2.50
Os  0.5000  0.5000  0.0000  4 Fe 2.50, 2 Os 2.56
Os  0.5000  0.0000  0.5000  4 Fe 2.50, 2 Os 2.56
Fe  0.5000  0.0000  0.0000  2 Fe 2.44, 4 Os 2.50
Nb  0.8786  0.3714  0.3714  6 Os 2.88-2.97, 6 Fe 2.89-2.98, 4 Nb 3.04-3.08
Nb  0.1214  0.6286  0.6286  6 Os 2.88-2.97, 6 Fe 2.89-2.98, 4 Nb 3.04-3.08

=====

No. 11
First-principles (PBE) data for a relaxed structure of NbFeOs, as listed in Alexandria.

Output
The calculation puts the total energy at -29.46 eV/cell. The value obtained for the energy of formation from the pure elements is 0.099 eV/atom.

Cell lengths 2.8181, 4.2389, 4.2389 Å; angles 120.00, 90.00, 90.00 degrees
Closest atoms and distances in Å follow each position.
Fractional coordinates of all 3 atoms:
Nb  0.6668  0.3333  0.6667  2 Nb 2.82, 6 Os 2.82, 6 Fe 2.82
Fe  0.1668  0.6667  0.3333  3 Os 2.45
Os  0.1664  0.0000  0.0000  3 Fe 2.45

=====

No. 12
First-principles (PBE) data for a relaxed structure of NbFe2Os2, as listed in Alexandria.

Output
The calculation puts the total energy at -98.40 eV/cell. The value obtained for the energy of formation from the pure elements is 0.051 eV/atom.

Cell lengths 7.0944, 7.0944, 2.7161 Å; angles 90.00, 90.00, 90.00 degrees
Closest atoms and distances in Å follow each position.
Fractional coordinates of all 10 atoms:
Nb  0.0000  0.0000  0.0000  2 Nb 2.72, 4 Fe 2.83, 8 Os 2.95
Os  0.6741  0.8259  0.5000  6 Fe 2.47-2.52, 2 Os 2.72
Fe  0.8801  0.6199  0.0000  1 Fe 2.41, 6 Os 2.47-2.52
Fe  0.3801  0.8801  0.0000  1 Fe 2.41, 6 Os 2.47-2.52
Os  0.3259  0.1741  0.5000  6 Fe 2.47-2.52, 2 Os 2.72
Nb  0.5000  0.5000  0.0000  2 Nb 2.72, 4 Fe 2.83, 8 Os 2.95
Fe  0.1199  0.3801  0.0000  1 Fe 2.41, 6 Os 2.47-2.52
Fe  0.6199  0.1199  0.0000  1 Fe 2.41, 6 Os 2.47-2.52
Os  0.8259  0.3259  0.5000  6 Fe 2.47-2.52, 2 Os 2.72
Os  0.1741  0.6741  0.5000  6 Fe 2.47-2.52, 2 Os 2.72